1.
Computed, not measured: RbLi2Pb2 after structural relaxation at the PBE level of DFT.

```
data_RbLi2Pb2
_chemical_formula_sum 'Rb2 Li4 Pb4'
_space_group_name_H-M_alt 'I 4/m m m'
_space_group_IT_number 139
_space_group_name_Hall '-I 4 2'
_cell_length_a 5.3880
_cell_length_b 5.3880
_cell_length_c 10.6776
_cell_angle_alpha 90.00
_cell_angle_beta 90.00
_cell_angle_gamma 90.00
loop_
_atom_site_label
_atom_site_fract_x
_atom_site_fract_y
_atom_site_fract_z
Rb1 0.0000 0.0000 0.0000
Li1 0.0000 0.5000 0.2500
Pb1 0.0000 0.0000 0.3620
```

* energy of formation: -128 meV/atom
* calculated density: 5.50 g/cm3
* polymorph energy (0 for the lowest one): 33.1 meV per atom

***

2.
Computed, not measured: RbLi2Pb3 after structural relaxation at the PBE level of DFT.

```
data_RbLi2Pb3
_chemical_formula_sum 'Rb4 Li8 Pb12'
_space_group_name_H-M_alt 'C m c m'
_space_group_IT_number 63
_space_group_name_Hall '-C 2c 2'
_cell_length_a 12.4960
_cell_length_b 9.6802
_cell_length_c 6.0886
_cell_angle_alpha 90.00
_cell_angle_beta 90.00
_cell_angle_gamma 90.00
loop_
_atom_site_label
_atom_site_fract_x
_atom_site_fract_y
_atom_site_fract_z
Rb1 0.0000 0.1497 0.2500
Li1 0.2114 0.5000 0.0000
Pb1 0.0000 0.4382 0.7500
Pb2 0.1959 0.2295 0.7500
```

* energy of formation: -207 meV/atom
* calculated density: 6.50 g/cm3

***

3.
Computed, not measured: RbLiPb4 after structural relaxation at the PBE level of DFT.

```
data_RbLiPb4
_chemical_formula_sum 'Rb2 Li2 Pb8'
_space_group_name_H-M_alt 'P m m a'
_space_group_IT_number 51
_cell_length_a 9.5016
_cell_length_b 4.8039
_cell_length_c 8.7060
_cell_angle_alpha 90.00
_cell_angle_beta 90.00
_cell_angle_gamma 90.00
loop_
_space_group_symop_operation_xyz
'x,y,z'
'-x,-y,-z'
'-x+1/2,-y,z'
'x+1/2,y,-z'
'x+1/2,-y,-z'
'-x+1/2,y,z'
'-x,y,-z'
'x,-y,z'
loop_
_atom_site_label
_atom_site_fract_x
_atom_site_fract_y
_atom_site_fract_z
Rb1 0.2500 0.0000 0.1100
Li1 0.2500 0.0000 0.6882
Pb1 0.0000 0.0000 0.5000
Pb2 0.0751 0.5000 0.7851
Pb3 0.2500 0.5000 0.4532
```

* energy of formation: -133 meV/atom
* calculated density: 7.70 g/cm3
* polymorph energy (0 for the lowest one): 0.0 meV per atom

***

4.
Computed, not measured: RbLi4Pb8 after structural relaxation at the PBE level of DFT.

```
data_RbLi4Pb8
_chemical_formula_sum 'Rb2 Li8 Pb16'
_space_group_name_H-M_alt 'I 4/m m m'
_space_group_IT_number 139
_space_group_name_Hall '-I 4 2'
_cell_length_a 10.7236
_cell_length_b 10.7236
_cell_length_c 6.3687
_cell_angle_alpha 90.00
_cell_angle_beta 90.00
_cell_angle_gamma 90.00
loop_
_atom_site_label
_atom_site_fract_x
_atom_site_fract_y
_atom_site_fract_z
Rb1 0.0000 0.0000 0.0000
Li1 0.2500 0.2500 0.2500
Pb1 0.0000 0.2269 0.5000
Pb2 0.0000 0.3476 0.0000
```

* energy of formation: -185 meV/atom
* calculated density: 8.03 g/cm3